No. 1
VASP calculation (PBE-GGA) on crystalline TbNd3Fe at its relaxed geometry.

Geometry as CIF:
```
data_TbNd3Fe
_chemical_formula_sum 'Tb1 Nd3 Fe1'
_space_group_name_H-M_alt 'P m -3 m'
_space_group_IT_number 221
_space_group_name_Hall '-P 4 2 3'
_cell_length_a 5.397
_cell_length_b 5.397
_cell_length_c 5.397
_cell_angle_alpha 90.00
_cell_angle_beta 90.00
_cell_angle_gamma 90.00
loop_
_atom_site_label
_atom_site_fract_x
_atom_site_fract_y
_atom_site_fract_z
_atom_site_occupancy
Tb1 0.000 0.000 0.000 1
Nd1 0.000 0.500 0.500 1
Fe1 0.500 0.500 0.500 1
```

Properties
**Magnetization**: 0.0 μB/f.u.

---

No. 2
VASP calculation (PBE-GGA) on crystalline NdTh3Fe at its relaxed geometry.

Geometry as CIF:
```
data_NdTh3Fe
_chemical_formula_sum 'Nd1 Th3 Fe1'
_space_group_name_H-M_alt 'P m -3 m'
_space_group_IT_number 221
_space_group_name_Hall '-P 4 2 3'
_cell_length_a 5.341
_cell_length_b 5.341
_cell_length_c 5.341
_cell_angle_alpha 90.00
_cell_angle_beta 90.00
_cell_angle_gamma 90.00
loop_
_atom_site_label
_atom_site_fract_x
_atom_site_fract_y
_atom_site_fract_z
_atom_site_occupancy
Nd1 0.000 0.000 0.000 1
Th1 0.000 0.500 0.500 1
Fe1 0.500 0.500 0.500 1
```

Properties
**Magnetization**: 0.0 μB/f.u.

---

No. 3
VASP calculation (PBE-GGA) on crystalline NdTh2Fe9 at its relaxed geometry.

Geometry as CIF:
```
data_NdTh2Fe9
_chemical_formula_sum 'Nd3 Th6 Fe27'
_space_group_name_H-M_alt 'R -3 m'
_space_group_IT_number 166
_space_group_name_Hall '-R 3 2"'
_cell_length_a 5.1716
_cell_length_b 5.1716
_cell_length_c 24.7511
_cell_angle_alpha 90.00
_cell_angle_beta 90.00
_cell_angle_gamma 120.00
loop_
_atom_site_label
_atom_site_fract_x
_atom_site_fract_y
_atom_site_fract_z
_atom_site_occupancy
Nd1 0.0000 0.0000 0.0000 1
Th1 0.0000 0.0000 0.1406 1
Fe1 0.0000 0.0000 0.3328 1
Fe2 0.0000 0.0000 0.5000 1
Fe3 0.0014 0.5007 0.0812 1
```

Properties
**Magnetization**: 17.9 μB/f.u.

---

No. 4
VASP calculation (PBE-GGA) on crystalline Nd2ThFe9 at its relaxed geometry.

Geometry as CIF:
```
data_Nd2ThFe9
_chemical_formula_sum 'Nd6 Th3 Fe27'
_space_group_name_H-M_alt 'R -3 m'
_space_group_IT_number 166
_space_group_name_Hall '-R 3 2"'
_cell_length_a 5.1567
_cell_length_b 5.1567
_cell_length_c 25.0771
_cell_angle_alpha 90.00
_cell_angle_beta 90.00
_cell_angle_gamma 120.00
loop_
_atom_site_label
_atom_site_fract_x
_atom_site_fract_y
_atom_site_fract_z
_atom_site_occupancy
Nd1 0.0000 0.0000 0.1419 1
Th1 0.0000 0.0000 0.0000 1
Fe1 0.0000 0.0000 0.3325 1
Fe2 0.0000 0.0000 0.5000 1
Fe3 0.0038 0.5019 0.0803 1
```

Properties
**Magnetization**: 18.4 μB/f.u.

---

No. 5
VASP calculation (PBE-GGA) on crystalline NdThFe10 at its relaxed geometry.

Geometry as CIF:
```
data_NdThFe10
_chemical_formula_sum 'Nd1 Th1 Fe10'
_space_group_name_H-M_alt 'P m m m'
_space_group_IT_number 47
_cell_length_a 3.997
_cell_length_b 5.091
_cell_length_c 8.808
_cell_angle_alpha 90.00
_cell_angle_beta 90.00
_cell_angle_gamma 90.00
loop_
_space_group_symop_operation_xyz
'x,y,z'
'-x,-y,-z'
'-x,-y,z'
'x,y,-z'
'x,-y,-z'
'-x,y,z'
'-x,y,-z'
'x,-y,z'
loop_
_atom_site_label
_atom_site_fract_x
_atom_site_fract_y
_atom_site_fract_z
_atom_site_occupancy
Nd1 0.000 0.000 0.000 1
Th1 0.000 0.500 0.500 1
Fe1 0.000 0.000 0.335 1
Fe2 0.000 0.500 0.168 1
Fe3 0.500 0.000 0.500 1
Fe4 0.500 0.251 0.250 1
Fe5 0.500 0.500 0.000 1
```

Properties
**Magnetization**: 20.7 μB/f.u.

---

No. 6
VASP calculation (PBE-GGA) on crystalline Nd2TlFe at its relaxed geometry.

Geometry as CIF:
```
data_Nd2TlFe
_chemical_formula_sum 'Nd2 Tl1 Fe1'
_space_group_name_H-M_alt 'P 4/m m m'
_space_group_IT_number 123
_space_group_name_Hall '-P 4 2'
_cell_length_a 3.604
_cell_length_b 3.604
_cell_length_c 8.018
_cell_angle_alpha 90.00
_cell_angle_beta 90.00
_cell_angle_gamma 90.00
loop_
_atom_site_label
_atom_site_fract_x
_atom_site_fract_y
_atom_site_fract_z
_atom_site_occupancy
Nd1 0.000 0.000 0.213 1
Tl1 0.500 0.500 0.500 1
Fe1 0.500 0.500 0.000 1
```

Properties
**Magnetization**: 1.6 μB/f.u.

---

no.,VASP energy (eV for the cell shown)
1,-26.3
2,-35.2
3,-288.3
4,-278.9
5,-96.9
6,-20.5